Entry 1:
This record from the Alexandria database describes crystalline LaTlCu2 at its relaxed geometry. The functional is PBE.

The value obtained for the formation energy is 135 meV per atom.

The space group is I-42d (No. 122) and the conventional cell measures 4.773, 4.773 and 18.116 Å, with angles of 90.00, 90.00 and 90.00 degrees. The inequivalent atoms are La at (0.000, 0.000, 0.000), Tl at (0.000, 0.000, 0.500) and Cu at (0.051, 0.250, 0.625).



Entry 2:
This record from the Alexandria database describes crystalline LaAgHg2 at its relaxed geometry. The functional is PBE.

The value obtained for the formation energy is -122 meV per atom.

The space group is I-42d (No. 122) and the conventional cell measures 4.636, 4.636 and 21.077 Å, with angles of 90.00, 90.00 and 90.00 degrees. The inequivalent atoms are La at (0.000, 0.000, 0.000), Ag at (0.000, 0.000, 0.500) and Hg at (0.201, 0.250, 0.625).



Entry 3:
This record from the Alexandria database describes crystalline Al2BiOs2 at its relaxed geometry. The functional is PBE.

The value obtained for the formation energy is 195 meV per atom. The value obtained for the distance to the lowest polymorph of the same formula is 0.040 eV per atom.

The space group is I4/mmm (No. 139) and the conventional cell measures 3.719, 3.719 and 12.750 Å, with angles of 90.00, 90.00 and 90.00 degrees. The inequivalent atoms are Al at (0.000, 0.500, 0.250), Bi at (0.000, 0.000, 0.000) and Os at (0.000, 0.000, 0.389).



Entry 4:
This record from the Alexandria database describes crystalline La2OsSe2 at its relaxed geometry. The functional is PBE.

The formation energy from raw total energies is -58.4 kJ/mol of atoms. The value obtained for the distance to the lowest polymorph of the same formula is 0.000 eV per atom.

The space group is P4/mbm (No. 127) and the conventional cell measures 8.058, 8.058 and 4.154 Å, with angles of 90.00, 90.00 and 90.00 degrees. The inequivalent atoms are La at (0.168, 0.332, 0.000), Os at (0.000, 0.000, 0.000) and Se at (0.144, 0.644, 0.500).



Entry 5:
This record from the Alexandria database describes crystalline Th3ZrCu7 at its relaxed geometry. The functional is PBE.

The value obtained for the formation energy is -63 meV per atom.

The space group is Cmcm (No. 63) and the conventional cell measures 3.495, 19.568 and 12.725 Å, with angles of 90.00, 90.00 and 90.00 degrees. The inequivalent atoms are Th at (0.000, 0.117, 0.046), Th at (0.000, 0.240, 0.750), Zr at (0.000, 0.029, 0.750), Cu at (0.000, 0.273, 0.054), Cu at (0.000, 0.376, 0.154), Cu at (0.000, 0.413, 0.750) and Cu at (0.000, 0.496, 0.093).



Entry 6:
This record from the Alexandria database describes crystalline La2PrNd3Ho6 at its relaxed geometry. The functional is PBE.

The value obtained for the formation energy is 13 meV per atom.

The space group is C2/m (No. 12) and the conventional cell measures 6.290, 10.894 and 11.845 Å, with angles of 90.00, 100.18 and 90.00 degrees. The inequivalent atoms are La at (0.000, 0.167, 0.000), Pr at (0.000, 0.500, 0.000), Nd at (0.000, 0.000, 0.500), Nd at (0.000, 0.334, 0.500), Ho at (0.249, 0.166, 0.748) and Ho at (0.249, 0.500, 0.748).



Entry 7:
This record from the Alexandria database describes crystalline GdTmMgHg at its relaxed geometry. The functional is PBE.

The value obtained for the formation energy is -273 meV per atom.

The space group is F-43m (No. 216) and the conventional cell measures 7.465, 7.465 and 7.465 Å, with angles of 90.00, 90.00 and 90.00 degrees. The inequivalent atoms are Gd at (0.000, 0.000, 0.000), Tm at (0.000, 0.000, 0.500), Mg at (0.250, 0.250, 0.750) and Hg at (0.250, 0.250, 0.250).



Entry 8:
This record from the Alexandria database describes crystalline CdAg2Rh at its relaxed geometry. The functional is PBE.

The value obtained for the formation energy is 154 meV per atom.

The space group is P4/mmm (No. 123) and the conventional cell measures 2.920, 2.920 and 8.169 Å, with angles of 90.00, 90.00 and 90.00 degrees. The inequivalent atoms are Cd at (0.000, 0.000, 0.000), Ag at (0.500, 0.500, 0.263) and Rh at (0.000, 0.000, 0.500).



Entry 9:
This record from the Alexandria database describes crystalline CuWSe at its relaxed geometry. The functional is PBE.

The formation energy from raw total energies is 19.4 kJ/mol of atoms. The value obtained for the distance to the lowest polymorph of the same formula is 0.100 eV per atom.

The space group is Pm (No. 6) and the conventional cell measures 5.611, 3.147 and 6.273 Å, with angles of 90.00, 104.46 and 90.00 degrees. The inequivalent atoms are Cu at (0.000, 0.000, 0.000), Cu at (0.375, 0.500, 0.934), W at (0.546, 0.000, 0.645), W at (0.939, 0.500, 0.656), Se at (0.098, 0.000, 0.403) and Se at (0.567, 0.500, 0.337).



Entry 10:
This record from the Alexandria database describes crystalline TbGa2Co2P at its relaxed geometry. The functional is PBE.

The value obtained for the formation energy is -489 meV per atom.

The space group is P4/mmm (No. 123) and the conventional cell measures 4.223, 4.223 and 5.431 Å, with angles of 90.00, 90.00 and 90.00 degrees. The inequivalent atoms are Tb at (0.000, 0.000, 0.000), Ga at (0.500, 0.500, 0.236), Co at (0.000, 0.500, 0.500) and P at (0.000, 0.000, 0.500).



Entry 11:
This record from the Alexandria database describes crystalline BeReOs2 at its relaxed geometry. The functional is PBE.

The value obtained for the formation energy is 99 meV per atom.

The space group is Pm (No. 6) and the conventional cell measures 2.729, 3.909 and 5.174 Å, with angles of 90.00, 105.09 and 90.00 degrees. The inequivalent atoms are Be at (0.000, 0.000, 0.000), Re at (0.407, 0.500, 0.801), Os at (0.139, 0.500, 0.259) and Os at (0.770, 0.000, 0.524).



Entry 12:
This record from the Alexandria database describes crystalline Dy2YZn at its relaxed geometry. The functional is PBE.

The value obtained for the formation energy is -57 meV per atom. The value obtained for the distance to the lowest polymorph of the same formula is 0.105 eV per atom.

The space group is R-3m (No. 166, hexagonal axes) and the conventional cell measures 3.5695, 3.5695 and 30.9656 Å, with angles of 90.00, 90.00 and 120.00 degrees. The inequivalent atoms are Dy at (0.0000, 0.0000, 0.2391), Y at (0.0000, 0.0000, 0.0000) and Zn at (0.0000, 0.0000, 0.5000).



Number 1: total magnetic moment 0.0 μB per formula unit. Number 2: total magnetic moment 0.0 μB per formula unit. Number 3: total magnetic moment 0.0 μB per formula unit. Number 4: total magnetic moment 2.0 μB per formula unit. Number 5: total magnetic moment 0.0 μB per formula unit. Number 6: total magnetic moment 0.0 μB per formula unit. Number 7: total magnetic moment 7.7 μB per formula unit. Number 8: total magnetic moment 0.3 μB per formula unit. Number 9: total magnetic moment 0.0 μB per formula unit. Number 10: total magnetic moment 0.4 μB per formula unit. Number 11: total magnetic moment 0.0 μB per formula unit. Number 12: total magnetic moment 0.0 μB per formula unit.